11
Lattice="-3.3414 1.2183 -1.0028 1.4818 -1.0737 -6.2419 -1.0088 -5.0619 4.0204" Properties=species:S:1:pos:R:3 comment="SiNi8Ge2, optimized geometry, DFT PBE-GGA" de_polymorph_mev_per_atom=0 rho_g_cm3=8.3 energy_ha_per_atom=-0.2147 e_form_raw_ev_per_atom=-0.31 pbc="T T T"
Ni -0.5677 -1.4611 0.1166
Ni 0.4306 -0.3120 -1.8139
Ni -0.9690 -3.6419 -1.1955
Ni 0.0423 -5.8236 -0.4075
Ni -1.8995 -1.2754 -2.0287
Ni -1.6650 -3.1375 1.7364
Ni -1.2034 -1.7798 -4.9607
Ni -2.3008 -3.4562 -3.3408
Ge 0.0380 -2.3458 -2.9766
Ge -2.9065 -2.5715 -0.2476
Si -1.6707 0.6091 -0.5014